Entry 1:
First-principles (GGA-PBE) data for crystalline Er3IrO6 at its relaxed geometry, as listed in Alexandria.

```
data_Er3IrO6
_cell_length_a 9.4561
_cell_length_b 9.4561
_cell_length_c 10.6246
_cell_angle_alpha 90.00
_cell_angle_beta 90.00
_cell_angle_gamma 120.00
_space_group_name_H-M_alt 'R -3'
_space_group_IT_number 148
_space_group_name_Hall '-R 3'
loop_
_atom_site_label
_atom_site_type_symbol
_atom_site_fract_x
_atom_site_fract_y
_atom_site_fract_z
Er1 Er 0.0436 0.2657 0.1998
Ir1 Ir 0.0000 0.0000 0.0000
Ir2 Ir 0.0000 0.0000 0.5000
O1 O 0.0284 0.2107 0.4032
O2 O 0.0292 0.1892 0.8806
```

Values from the calculation:
Fermi-level density of states, states/eV per atom: 0.00
DFT total energy, eV/atom: -8.06
Uncorrected formation energy, meV/atom: -2826
Mass density, g/cm3: 9.567
Crystal system: trigonal


Entry 2:
First-principles (GGA-PBE) data for crystalline CaZn2Co2 at its relaxed geometry, as listed in Alexandria.

```
data_CaZn2Co2
_cell_length_a 7.410
_cell_length_b 7.410
_cell_length_c 2.732
_cell_angle_alpha 90.00
_cell_angle_beta 90.00
_cell_angle_gamma 90.00
_space_group_name_H-M_alt 'P 4/m b m'
_space_group_IT_number 127
_space_group_name_Hall '-P 4 2ab'
loop_
_atom_site_label
_atom_site_type_symbol
_atom_site_fract_x
_atom_site_fract_y
_atom_site_fract_z
Ca1 Ca 0.000 0.000 0.000
Zn1 Zn 0.126 0.374 0.000
Co1 Co 0.168 0.668 0.500
```

Values from the calculation:
Fermi-level density of states, states/eV per atom: 1.14
Offset from the most stable computed form, meV per atom: 68
DFT total energy, eV/atom: -3.63
Mass density, g/cm3: 6.394
Crystal system: tetragonal


Entry 3:
First-principles (GGA-PBE) data for crystalline Rh2W at its relaxed geometry, as listed in Alexandria.

```
data_Rh2W
_cell_length_a 2.752
_cell_length_b 9.043
_cell_length_c 7.264
_cell_angle_alpha 90.00
_cell_angle_beta 90.00
_cell_angle_gamma 90.00
_space_group_name_H-M_alt 'C m c 21'
_space_group_IT_number 36
_space_group_name_Hall 'C 2c -2'
loop_
_atom_site_label
_atom_site_type_symbol
_atom_site_fract_x
_atom_site_fract_y
_atom_site_fract_z
Rh1 Rh 0.000 0.091 0.000
Rh2 Rh 0.000 0.363 0.181
W1 W 0.000 0.363 0.825
```

Values from the calculation:
Fermi-level density of states, states/eV per atom: 1.12
DFT total energy, eV/atom: -9.29
Mass density, g/cm3: 14.317
Crystal system: orthorhombic


Entry 4:
First-principles (GGA-PBE) data for crystalline La3Pr8Y at its relaxed geometry, as listed in Alexandria.

```
data_La3Pr8Y
_cell_length_a 6.403
_cell_length_b 8.317
_cell_length_c 8.320
_cell_angle_alpha 84.19
_cell_angle_beta 82.33
_cell_angle_gamma 82.45
_space_group_name_H-M_alt 'P 1'
_space_group_IT_number 1
_space_group_name_Hall 'P 1'
loop_
_atom_site_label
_atom_site_type_symbol
_atom_site_fract_x
_atom_site_fract_y
_atom_site_fract_z
La1 La 0.000 0.000 0.000
La2 La 0.252 0.251 0.250
La3 La 0.747 0.750 0.748
Pr1 Pr 0.000 0.666 0.334
Pr2 Pr 0.248 0.916 0.582
Pr3 Pr 0.249 0.582 0.915
Pr4 Pr 0.500 0.168 0.831
Pr5 Pr 0.500 0.832 0.169
Pr6 Pr 0.750 0.419 0.084
Pr7 Pr 0.751 0.085 0.417
Pr8 Pr 0.999 0.334 0.666
Y1 Y 0.500 0.500 0.500
```

Values from the calculation:
Fermi-level density of states, states/eV per atom: 1.85
DFT total energy, eV/atom: -4.94
Mass density, g/cm3: 6.251
Crystal system: triclinic


Entry 5:
First-principles (GGA-PBE) data for crystalline TbScRu at its relaxed geometry, as listed in Alexandria.

```
data_TbScRu
_cell_length_a 6.571
_cell_length_b 6.571
_cell_length_c 6.571
_cell_angle_alpha 90.00
_cell_angle_beta 90.00
_cell_angle_gamma 90.00
_space_group_name_H-M_alt 'F -4 3 m'
_space_group_IT_number 216
_space_group_name_Hall 'F -4 2 3'
loop_
_atom_site_label
_atom_site_type_symbol
_atom_site_fract_x
_atom_site_fract_y
_atom_site_fract_z
Tb1 Tb 0.000 0.000 0.000
Sc1 Sc 0.000 0.000 0.500
Ru1 Ru 0.250 0.250 0.750
```

Values from the calculation:
Fermi-level density of states, states/eV per atom: 0.49
Offset from the most stable computed form, meV per atom: 142
DFT total energy, eV/atom: -7.03
Mass density, g/cm3: 7.140
Crystal system: cubic


Entry 6:
First-principles (GGA-PBE) data for crystalline Cr3As at its relaxed geometry, as listed in Alexandria.

```
data_Cr3As
_cell_length_a 4.352
_cell_length_b 5.005
_cell_length_c 4.483
_cell_angle_alpha 90.00
_cell_angle_beta 90.00
_cell_angle_gamma 90.00
_space_group_name_H-M_alt 'P m m n'
_space_group_IT_number 59
loop_
_space_group_symop_operation_xyz
'x,y,z'
'-x,-y,-z'
'-x+1/2,-y+1/2,z'
'x+1/2,y+1/2,-z'
'x+1/2,-y,-z'
'-x+1/2,y,z'
'-x,y+1/2,-z'
'x,-y+1/2,z'
loop_
_atom_site_label
_atom_site_type_symbol
_atom_site_fract_x
_atom_site_fract_y
_atom_site_fract_z
Cr1 Cr 0.250 0.001 0.168
Cr2 Cr 0.250 0.750 0.662
As1 As 0.250 0.250 0.669
```

Values from the calculation:
Fermi-level density of states, states/eV per atom: 1.01
DFT total energy, eV/atom: -8.30
Mass density, g/cm3: 7.853
Crystal system: orthorhombic


Entry 7:
First-principles (GGA-PBE) data for crystalline LiMg2Nb3N6 at its relaxed geometry, as listed in Alexandria.

```
data_LiMg2Nb3N6
_cell_length_a 13.649
_cell_length_b 3.081
_cell_length_c 6.286
_cell_angle_alpha 90.00
_cell_angle_beta 104.83
_cell_angle_gamma 90.00
_space_group_name_H-M_alt 'C 1 2/m 1'
_space_group_IT_number 12
_space_group_name_Hall '-C 2y'
loop_
_atom_site_label
_atom_site_type_symbol
_atom_site_fract_x
_atom_site_fract_y
_atom_site_fract_z
Li1 Li 0.000 0.000 0.000
Mg1 Mg 0.165 0.500 0.329
Nb1 Nb 0.000 0.000 0.500
Nb2 Nb 0.162 0.500 0.837
N1 N 0.002 0.500 0.739
N2 N 0.165 0.000 0.588
N3 N 0.171 0.000 0.081
```

Values from the calculation:
Fermi-level density of states, states/eV per atom: 0.34
DFT total energy, eV/atom: -8.06
Uncorrected formation energy, meV/atom: -956
Mass density, g/cm3: 5.437
Crystal system: monoclinic


Entry 8:
First-principles (GGA-PBE) data for crystalline PaZnOsPt at its relaxed geometry, as listed in Alexandria.

```
data_PaZnOsPt
_cell_length_a 6.642
_cell_length_b 6.642
_cell_length_c 6.642
_cell_angle_alpha 90.00
_cell_angle_beta 90.00
_cell_angle_gamma 90.00
_space_group_name_H-M_alt 'F -4 3 m'
_space_group_IT_number 216
_space_group_name_Hall 'F -4 2 3'
loop_
_atom_site_label
_atom_site_type_symbol
_atom_site_fract_x
_atom_site_fract_y
_atom_site_fract_z
Pa1 Pa 0.000 0.000 0.000
Zn1 Zn 0.000 0.000 0.500
Os1 Os 0.250 0.250 0.250
Pt1 Pt 0.250 0.250 0.750
```

Values from the calculation:
Fermi-level density of states, states/eV per atom: 1.14
DFT total energy, eV/atom: -7.32
Mass density, g/cm3: 15.457
Crystal system: cubic


Entry 9:
First-principles (GGA-PBE) data for crystalline Hg4SbRu at its relaxed geometry, as listed in Alexandria.

```
data_Hg4SbRu
_cell_length_a 8.115
_cell_length_b 8.115
_cell_length_c 8.115
_cell_angle_alpha 90.00
_cell_angle_beta 90.00
_cell_angle_gamma 90.00
_space_group_name_H-M_alt 'F -4 3 m'
_space_group_IT_number 216
_space_group_name_Hall 'F -4 2 3'
loop_
_atom_site_label
_atom_site_type_symbol
_atom_site_fract_x
_atom_site_fract_y
_atom_site_fract_z
Hg1 Hg 0.124 0.124 0.124
Sb1 Sb 0.000 0.000 0.500
Ru1 Ru 0.250 0.250 0.750
```

Values from the calculation:
Fermi-level density of states, states/eV per atom: 0.58
DFT total energy, eV/atom: -1.75
Uncorrected formation energy, meV/atom: 689
Mass density, g/cm3: 12.744
Crystal system: cubic


Entry 10:
First-principles (GGA-PBE) data for crystalline AlSbRh2 at its relaxed geometry, as listed in Alexandria.

```
data_AlSbRh2
_cell_length_a 3.1418
_cell_length_b 3.1418
_cell_length_c 24.7476
_cell_angle_alpha 90.00
_cell_angle_beta 90.00
_cell_angle_gamma 120.00
_space_group_name_H-M_alt 'R 3 m'
_space_group_IT_number 160
_space_group_name_Hall 'R 3 -2"'
loop_
_atom_site_label
_atom_site_type_symbol
_atom_site_fract_x
_atom_site_fract_y
_atom_site_fract_z
Al1 Al 0.0000 0.0000 0.0000
Sb1 Sb 0.0000 0.0000 0.2307
Rh1 Rh 0.0000 0.0000 0.4885
Rh2 Rh 0.0000 0.0000 0.7324
```

Values from the calculation:
Fermi-level density of states, states/eV per atom: 0.69
DFT total energy, eV/atom: -5.73
Uncorrected formation energy, meV/atom: -90
Mass density, g/cm3: 8.349
Crystal system: trigonal


Entry 11:
First-principles (GGA-PBE) data for crystalline Li2HoTmTl4 at its relaxed geometry, as listed in Alexandria.

```
data_Li2HoTmTl4
_cell_length_a 5.1669
_cell_length_b 5.1669
_cell_length_c 25.2102
_cell_angle_alpha 90.00
_cell_angle_beta 90.00
_cell_angle_gamma 120.00
_space_group_name_H-M_alt 'R -3 m'
_space_group_IT_number 166
_space_group_name_Hall '-R 3 2"'
loop_
_atom_site_label
_atom_site_type_symbol
_atom_site_fract_x
_atom_site_fract_y
_atom_site_fract_z
Li1 Li 0.0000 0.0000 0.2499
Ho1 Ho 0.0000 0.0000 0.0000
Tm1 Tm 0.0000 0.0000 0.5000
Tl1 Tl 0.0000 0.0000 0.1255
Tl2 Tl 0.0000 0.0000 0.3754
```

Values from the calculation:
Fermi-level density of states, states/eV per atom: 0.20
DFT total energy, eV/atom: -3.10
Mass density, g/cm3: 9.959
Crystal system: trigonal


Entry 12:
First-principles (GGA-PBE) data for crystalline CsNaTl4Sb2 at its relaxed geometry, as listed in Alexandria.

```
data_CsNaTl4Sb2
_cell_length_a 4.809
_cell_length_b 4.809
_cell_length_c 13.555
_cell_angle_alpha 90.00
_cell_angle_beta 90.00
_cell_angle_gamma 90.00
_space_group_name_H-M_alt 'P 4/m m m'
_space_group_IT_number 123
_space_group_name_Hall '-P 4 2'
loop_
_atom_site_label
_atom_site_type_symbol
_atom_site_fract_x
_atom_site_fract_y
_atom_site_fract_z
Cs1 Cs 0.000 0.000 0.000
Na1 Na 0.000 0.000 0.500
Tl1 Tl 0.000 0.500 0.240
Sb1 Sb 0.500 0.500 0.390
```

Values from the calculation:
Fermi-level density of states, states/eV per atom: 0.20
DFT total energy, eV/atom: -2.62
Uncorrected formation energy, meV/atom: -132
Mass density, g/cm3: 6.445
Crystal system: tetragonal


Entry 13:
First-principles (GGA-PBE) data for crystalline Na3AlFe at its relaxed geometry, as listed in Alexandria.

```
data_Na3AlFe
_cell_length_a 5.429
_cell_length_b 5.429
_cell_length_c 5.429
_cell_angle_alpha 90.00
_cell_angle_beta 90.00
_cell_angle_gamma 90.00
_space_group_name_H-M_alt 'P m -3 m'
_space_group_IT_number 221
_space_group_name_Hall '-P 4 2 3'
loop_
_atom_site_label
_atom_site_type_symbol
_atom_site_fract_x
_atom_site_fract_y
_atom_site_fract_z
Na1 Na 0.000 0.000 0.500
Al1 Al 0.500 0.500 0.500
Fe1 Fe 0.000 0.000 0.000
```

Values from the calculation:
Fermi-level density of states, states/eV per atom: 2.43
Offset from the most stable computed form, meV per atom: 0
DFT total energy, eV/atom: -2.20
Mass density, g/cm3: 1.575
Crystal system: cubic


Entry 14:
First-principles (GGA-PBE) data for crystalline Y4HoTm2Mg at its relaxed geometry, as listed in Alexandria.

```
data_Y4HoTm2Mg
_cell_length_a 4.970
_cell_length_b 4.970
_cell_length_c 9.889
_cell_angle_alpha 90.00
_cell_angle_beta 90.00
_cell_angle_gamma 90.00
_space_group_name_H-M_alt 'P 4/m m m'
_space_group_IT_number 123
_space_group_name_Hall '-P 4 2'
loop_
_atom_site_label
_atom_site_type_symbol
_atom_site_fract_x
_atom_site_fract_y
_atom_site_fract_z
Y1 Y 0.000 0.500 0.247
Ho1 Ho 0.000 0.000 0.500
Tm1 Tm 0.000 0.000 0.000
Tm2 Tm 0.500 0.500 0.500
Mg1 Mg 0.500 0.500 0.000
```

Values from the calculation:
Fermi-level density of states, states/eV per atom: 1.60
DFT total energy, eV/atom: -5.10
Mass density, g/cm3: 6.000
Crystal system: tetragonal


Entry 15:
First-principles (GGA-PBE) data for crystalline Sc8InSn2 at its relaxed geometry, as listed in Alexandria.

```
data_Sc8InSn2
_cell_length_a 8.096
_cell_length_b 13.658
_cell_length_c 5.334
_cell_angle_alpha 90.00
_cell_angle_beta 114.39
_cell_angle_gamma 90.00
_space_group_name_H-M_alt 'C 1 2/m 1'
_space_group_IT_number 12
_space_group_name_Hall '-C 2y'
loop_
_atom_site_label
_atom_site_type_symbol
_atom_site_fract_x
_atom_site_fract_y
_atom_site_fract_z
Sc1 Sc 0.000 0.218 0.000
Sc2 Sc 0.095 0.500 0.796
Sc3 Sc 0.212 0.114 0.643
In1 In 0.000 0.000 0.000
Sn1 Sn 0.000 0.305 0.500
```

Values from the calculation:
Fermi-level density of states, states/eV per atom: 1.46
DFT total energy, eV/atom: -5.84
Mass density, g/cm3: 4.401
Crystal system: monoclinic


Entry 16:
First-principles (GGA-PBE) data for crystalline AcLa8Nd4 at its relaxed geometry, as listed in Alexandria.

```
data_AcLa8Nd4
_cell_length_a 11.9689
_cell_length_b 11.9689
_cell_length_c 12.2843
_cell_angle_alpha 90.00
_cell_angle_beta 90.00
_cell_angle_gamma 120.00
_space_group_name_H-M_alt 'R -3 m'
_space_group_IT_number 166
_space_group_name_Hall '-R 3 2"'
loop_
_atom_site_label
_atom_site_type_symbol
_atom_site_fract_x
_atom_site_fract_y
_atom_site_fract_z
Ac1 Ac 0.0000 0.0000 0.0000
La1 La 0.0000 0.0000 0.2695
La2 La 0.0040 0.5020 0.1679
Nd1 Nd 0.0000 0.0000 0.5000
Nd2 Nd 0.0000 0.5000 0.5000
```

Values from the calculation:
Fermi-level density of states, states/eV per atom: 1.76
DFT total energy, eV/atom: -4.47
Mass density, g/cm3: 6.260
Crystal system: trigonal